PBE RbCd2Ni2, optimized geometry; symmetry = No. 127; formation energy from the elements = 1.5 eV/f.u.; total magnetization = 0.00 μB per cell
1.0
-7.4518 -1.7374 2.9746
3.3651 -5.1871 5.4005
0.2675 2.2229 1.9684
Ni Rb Cd
4 2 4
direct
0.3874 0.8874 0.0000 Ni
0.6126 0.1126 0.0000 Ni
0.8874 0.6126 0.0000 Ni
0.1126 0.3874 0.0000 Ni
0.0000 0.0000 0.0000 Rb
0.5000 0.5000 0.0000 Rb
0.8316 0.3316 0.5000 Cd
0.3316 0.1684 0.5000 Cd
0.1684 0.6684 0.5000 Cd
0.6684 0.8316 0.5000 Cd

PBE Zr2MoHPb, optimized geometry; symmetry = No. 123; electronic total energy = -0.2617 Ha/atom; total magnetization = 0.17 μB per cell
1.0
4.6345 0.0000 0.0000
0.0000 4.6345 0.0000
0.0000 0.0000 3.9561
Zr H Mo Pb
2 1 1 1
direct
0.5000 0.0000 0.0000 Zr
0.0000 0.5000 0.0000 Zr
0.0000 0.0000 0.0000 H
0.0000 0.0000 0.5000 Mo
0.5000 0.5000 0.5000 Pb